The following is a DFT calculation (PBE-GGA) of an optimized crystal structure of Sc2PPb.

Results
For the density of states at the Fermi level, the calculation gives 5.119 states/eV/cell. Its formation energy is -752 meV/atom. The distance to the lowest polymorph of the same formula comes out at 235.4 meV per atom.

Structure (CIF):
```
data_Sc2PPb
_chemical_formula_sum 'Sc4 P2 Pb2'
_symmetry_space_group_name_H-M 'I m m 2'
_symmetry_Int_Tables_number 44
_cell_length_a 3.4976
_cell_length_b 3.5133
_cell_length_c 15.0884
_cell_angle_alpha 90.00
_cell_angle_beta 90.00
_cell_angle_gamma 90.00
loop_
_symmetry_equiv_pos_as_xyz
'x,y,z'
'-x,-y,z'
'-x,y,z'
'x,-y,z'
'x+1/2,y+1/2,z+1/2'
'-x+1/2,-y+1/2,z+1/2'
'-x+1/2,y+1/2,z+1/2'
'x+1/2,-y+1/2,z+1/2'
loop_
_atom_site_label
_atom_site_fract_x
_atom_site_fract_y
_atom_site_fract_z
_atom_site_occupancy
Sc1 0.0000 0.0000 0.0000 1
Sc2 0.0000 0.5000 0.1935 1
P1 0.0000 0.0000 0.5650 1
Pb1 0.0000 0.5000 0.8274 1
```